# PuNpSbO2

Crystalline PuNpSbO2 at its relaxed geometry (PBE, Alexandria).

Results
size of the total moment: 16.51 μB/cell
total energy: -104.64 eV/cell
crystal system: orthorhombic
E_form (uncorrected): -2.202 eV per atom

Cell lengths 5.535, 5.541, 6.851 Å; angles 113.86, 90.00, 90.00 degrees
Last column: magnetic moment on the atom in μB.
Fractional positions:
O  0.500  0.756  0.000  0.13
O  0.000  0.756  0.000  0.13
O  0.500  0.244  0.000  0.13
Pu  0.750  0.403  0.806  -4.97
Sb  0.750  0.749  0.498  0.15
Np  0.250  0.906  0.812  -3.50
Pu  0.250  0.597  0.194  -4.97
Sb  0.250  0.251  0.502  0.15
O  0.000  0.244  0.000  0.13
Np  0.750  0.094  0.188  -3.50